A plane-wave DFT calculation with PBE-GGA was carried out for a relaxed Ac5GaCo2 crystal.

E_form, kJ/mol of formula units: -80.5
Crystal system: tetragonal
Total energy, eV per atom: -4.827

a b c (Å): 8.2125 8.2125 14.3587
angles (deg): 90.00 90.00 90.00
With the nearest neighbours (Å) after each atom.
Space group I4/mcm (No. 140)
Unique sites:
1 Ac 0.0000 0.0000 0.0000 (multiplicity 4)  4 Co 3.20
2 Ac 0.1619 0.3381 0.1352 (multiplicity 16)  3 Co 3.06-3.12
3 Ga 0.0000 0.0000 0.2500 (multiplicity 4)  10 Ac 3.49-3.59
4 Co 0.1348 0.3652 0.5000 (multiplicity 8)  8 Ac 3.06-3.20, 1 Co 3.13

A plane-wave DFT calculation with PBE-GGA was carried out for a relaxed AcGa3Co crystal.

E_form, kJ/mol of formula units: -204.5
Crystal system: orthorhombic
Total energy, eV per atom: -4.483
Distance to the lowest polymorph of the same formula, meV/atom: 1.3

a b c (Å): 6.2392 9.3458 7.0041
angles (deg): 90.00 90.00 90.00
With the nearest neighbours (Å) after each atom.
Space group Imma (No. 74)
Unique sites:
1 Ac 0.0000 0.2500 0.0763 (multiplicity 4)  12 Ga 3.27-3.59
2 Ga 0.0000 0.2500 0.5639 (multiplicity 4)  2 Co 2.38
3 Ga 0.2500 0.0399 0.7500 (multiplicity 8)  2 Co 2.37
4 Co 0.0000 0.0000 0.5000 (multiplicity 4)  6 Ga 2.37-2.38

A plane-wave DFT calculation with PBE-GGA was carried out for a relaxed AcGa5Co2 crystal.

E_form, kJ/mol of formula units: -332.8
Crystal system: orthorhombic
Total energy, eV per atom: -4.613

a b c (Å): 4.0867 7.0002 9.9600
angles (deg): 90.00 90.00 90.00
With the nearest neighbours (Å) after each atom.
Space group Immm (No. 71)
Unique sites:
1 Ac 0.0000 0.0000 0.0000 (multiplicity 2)  4 Co 3.38, 14 Ga 3.39-3.61
2 Ga 0.0000 0.1915 0.3364 (multiplicity 8)  3 Co 2.40-2.53, 1 Ga 2.68
3 Ga 0.0000 0.5000 0.0000 (multiplicity 2)  2 Co 2.29
4 Co 0.0000 0.5000 0.2302 (multiplicity 4)  7 Ga 2.29-2.53

A plane-wave DFT calculation with PBE-GGA was carried out for a relaxed Ac2HoGa12Co3 crystal.

E_form, kJ/mol of formula units: -122.9
Crystal system: trigonal
Total energy, eV per atom: -3.984

a b c (Å): 8.6551 8.6551 19.4004
angles (deg): 90.00 90.00 120.00
With the nearest neighbours (Å) after each atom.
Space group R-3m (No. 166, hexagonal axes)
Unique sites:
1 Ac 0.0000 0.0000 0.0908 (multiplicity 6)  3 Ga 3.15, 1 Ac 3.52
2 Ho 0.0000 0.0000 0.5000 (multiplicity 3)  6 Ga 3.11
3 Ga 0.0624 0.5312 0.8819 (multiplicity 18)  1 Co 2.34
4 Ga 0.0955 0.5478 0.3249 (multiplicity 18)  2 Co 2.23
5 Co 0.0000 0.5000 0.0000 (multiplicity 9)  6 Ga 2.23-2.34

A plane-wave DFT calculation with PBE-GGA was carried out for a relaxed Ac6Ga2CoI3 crystal.

Crystal system: monoclinic
Formation energy (no corrections), eV/f.u.: -8.2
Total energy, eV per atom: -4.222

a b c (Å): 8.1110 13.4181 8.6612
angles (deg): 90.00 107.30 90.00
With the nearest neighbours (Å) after each atom.
Space group C2/m (No. 12)
Unique sites:
1 Ac 0.2147 0.1532 0.1871 (multiplicity 8)  1 Co 2.86, 2 Ga 3.18-3.20
2 Ac 0.2463 0.0000 0.7935 (multiplicity 4)  1 Co 3.05, 2 Ga 3.16
3 Ga 0.0000 0.3376 0.0000 (multiplicity 4)  6 Ac 3.16-3.20
4 Co 0.0000 0.0000 0.0000 (multiplicity 2)  6 Ac 2.86-3.05
5 I 0.0000 0.1766 0.5000 (multiplicity 4)  6 Ac 3.61-3.77
6 I 0.0000 0.5000 0.5000 (multiplicity 2)  6 Ac 3.63-3.72

A plane-wave DFT calculation with PBE-GGA was carried out for a relaxed Ac6GaCo2I3 crystal.

Crystal system: monoclinic
Formation energy (no corrections), eV/f.u.: -7.8
Total energy, eV per atom: -4.527

a b c (Å): 7.6511 13.2591 8.9366
angles (deg): 90.00 106.66 90.00
With the nearest neighbours (Å) after each atom.
Space group C2/m (No. 12)
Unique sites:
1 Ac 0.2039 0.0000 0.1855 (multiplicity 4)  2 Co 2.93, 1 Ga 3.17
2 Ac 0.2411 0.3208 0.1863 (multiplicity 8)  2 Co 2.93, 1 Ga 3.17
3 Ga 0.0000 0.5000 0.0000 (multiplicity 2)  6 Ac 3.17
4 Co 0.0000 0.1670 0.0000 (multiplicity 4)  6 Ac 2.93
5 I 0.0000 0.0000 0.5000 (multiplicity 2)  6 Ac 3.58-3.77
6 I 0.0000 0.3380 0.5000 (multiplicity 4)  6 Ac 3.61-3.78

A plane-wave DFT calculation with PBE-GGA was carried out for a relaxed Ac8Ga3CoI4 crystal.

Crystal system: monoclinic
Formation energy (no corrections), eV/f.u.: -11.1
Total energy, eV per atom: -4.147

a b c (Å): 15.9911 9.1507 9.8440
angles (deg): 90.00 123.05 90.00
With the nearest neighbours (Å) after each atom.
Space group C2/m (No. 12)
Unique sites:
1 Ac 0.0144 0.2332 0.3097 (multiplicity 8)  1 Co 2.93, 2 Ga 3.16-3.17
2 Ac 0.2224 0.0000 0.6951 (multiplicity 4)  1 Co 2.98, 2 Ga 3.17
3 Ac 0.2379 0.5000 0.7147 (multiplicity 4)  3 Ga 3.19, 3 I 3.54-3.55
4 Ga 0.0000 0.5000 0.5000 (multiplicity 2)  6 Ac 3.16-3.19
5 Ga 0.2500 0.2500 0.5000 (multiplicity 4)  6 Ac 3.17-3.19
6 Co 0.0000 0.0000 0.5000 (multiplicity 2)  6 Ac 2.93-2.98
7 I 0.0000 0.0000 0.0000 (multiplicity 2)  6 Ac 3.55-3.62
8 I 0.0000 0.5000 0.0000 (multiplicity 2)  6 Ac 3.77-3.81
9 I 0.2500 0.2500 0.0000 (multiplicity 4)  6 Ac 3.54-3.62

A plane-wave DFT calculation with PBE-GGA was carried out for a relaxed Ac2GaCoIr crystal.

E_form, kJ/mol of formula units: -217.9
Crystal system: tetragonal
Total energy, eV per atom: -5.894

a b c (Å): 4.3139 4.3139 13.8395
angles (deg): 90.00 90.00 90.00
With the nearest neighbours (Å) after each atom.
Space group P4/nmm (No. 129, origin choice 2)
Unique sites:
1 Ac 0.2500 0.2500 0.1035 (multiplicity 2)  5 Ir 3.06-3.09
2 Ac 0.2500 0.2500 0.6717 (multiplicity 2)  1 Ir 2.89, 4 Co 3.21
3 Ga 0.2500 0.2500 0.4180 (multiplicity 2)  4 Co 2.44
4 Co 0.2500 0.7500 0.5000 (multiplicity 2)  4 Ga 2.44
5 Ir 0.2500 0.2500 0.8802 (multiplicity 2)  6 Ac 2.89-3.09

A plane-wave DFT calculation with PBE-GGA was carried out for a relaxed AcLa2GaCo crystal.

E_form, kJ/mol of formula units: -80.1
Crystal system: tetragonal
Total energy, eV per atom: -4.985

a b c (Å): 5.2603 5.2603 5.5194
angles (deg): 90.00 90.00 90.00
With the nearest neighbours (Å) after each atom.
Space group P4/mmm (No. 123)
Unique sites:
1 Ac 0.0000 0.0000 0.0000 (multiplicity 1)  2 Co 2.76
2 La 0.0000 0.5000 0.5000 (multiplicity 2)  2 Co 2.63
3 Ga 0.5000 0.5000 0.0000 (multiplicity 1)  4 Ac 3.72, 8 La 3.81
4 Co 0.0000 0.0000 0.5000 (multiplicity 1)  4 La 2.63, 2 Ac 2.76

A plane-wave DFT calculation with PBE-GGA was carried out for a relaxed Ac2LaGaCo crystal.

E_form, kJ/mol of formula units: -59.9
Crystal system: orthorhombic
Total energy, eV per atom: -4.780

a b c (Å): 4.0099 18.5140 8.6115
angles (deg): 90.00 90.00 90.00
With the nearest neighbours (Å) after each atom.
Space group Cmcm (No. 63)
Unique sites:
1 Ac 0.0000 0.1514 0.0229 (multiplicity 8)  1 Co 2.81
2 La 0.0000 0.4841 0.2500 (multiplicity 4)  4 Co 2.96
3 Ga 0.0000 0.2992 0.2500 (multiplicity 4)  6 Ac 3.22-3.36, 1 La 3.42
4 Co 0.0000 0.0000 0.0000 (multiplicity 4)  2 Ac 2.81, 4 La 2.96

A plane-wave DFT calculation with PBE-GGA was carried out for a relaxed AcGaCo2N crystal.

Crystal system: orthorhombic
Formation energy (no corrections), eV/f.u.: -2.3
Total energy, eV per atom: -6.401

a b c (Å): 4.0848 11.1179 6.9759
angles (deg): 90.00 90.00 90.00
With the nearest neighbours (Å) after each atom.
Space group Cmcm (No. 63)
Unique sites:
1 Ac 0.0000 0.0592 0.2500 (multiplicity 4)  4 N 2.77
2 Ga 0.0000 0.2221 0.7500 (multiplicity 4)  6 Co 2.55-2.56
3 Co 0.0000 0.3450 0.0604 (multiplicity 8)  1 N 1.77
4 N 0.0000 0.5000 0.0000 (multiplicity 4)  2 Co 1.77

A plane-wave DFT calculation with PBE-GGA was carried out for a relaxed AcNdGaCo crystal.

E_form, kJ/mol of formula units: -41.8
Crystal system: cubic
Total energy, eV per atom: -4.861

a b c (Å): 7.4371 7.4371 7.4371
angles (deg): 90.00 90.00 90.00
With the nearest neighbours (Å) after each atom.
Space group F-43m (No. 216)
Unique sites:
1 Ac 0.0000 0.0000 0.0000 (multiplicity 4)  4 Co 3.22, 4 Ga 3.22
2 Nd 0.0000 0.0000 0.5000 (multiplicity 4)  4 Ga 3.22, 4 Co 3.22
3 Ga 0.2500 0.2500 0.7500 (multiplicity 4)  4 Ac 3.22, 4 Nd 3.22
4 Co 0.2500 0.2500 0.2500 (multiplicity 4)  4 Nd 3.22, 4 Ac 3.22

A plane-wave DFT calculation with PBE-GGA was carried out for a relaxed AcGaCoNi crystal.

E_form, kJ/mol of formula units: -137.6
Crystal system: trigonal
Total energy, eV per atom: -5.362

a b c (Å): 4.2121 4.2121 15.2495
angles (deg): 90.00 90.00 120.00
With the nearest neighbours (Å) after each atom.
Space group R3m (No. 160, hexagonal axes)
Unique sites:
1 Ac 0.0000 0.0000 0.0000 (multiplicity 3)  4 Ni 2.92-3.25, 4 Co 2.93-3.25
2 Ga 0.0000 0.0000 0.5040 (multiplicity 3)  3 Co 2.45, 3 Ni 2.47
3 Co 0.0000 0.0000 0.1922 (multiplicity 3)  3 Ga 2.45, 3 Ni 2.55
4 Ni 0.0000 0.0000 0.8084 (multiplicity 3)  3 Ga 2.47, 3 Co 2.55